1.
Computed, not measured: a relaxed structure of Li6HgPt at the PBE level of DFT.

Cell lengths 5.678, 5.678, 4.539 Å; angles 90.00, 90.00, 120.00 degrees
Element x y z (fractional)
Li  0.003  0.501  0.000
Li  0.307  0.153  0.500
Li  0.499  0.501  0.000
Li  0.499  0.997  0.000
Li  0.847  0.153  0.500
Li  0.847  0.693  0.500
Hg  0.333  0.667  0.500
Pt  0.000  0.000  0.000

## Properties
The symmetry is No. 187. The value obtained for the energy above the most stable polymorph in this dataset is 0 meV per atom. Its density of states at the Fermi level is 2.45 states/eV/cell.

=====

2.
Computed, not measured: a relaxed structure of Hf6Zn5Pt at the PBE level of DFT.

Cell lengths 8.144, 8.144, 8.144 Å; angles 146.43, 132.75, 59.20 degrees
Element x y z (fractional)
Hf  0.083  0.333  0.750
Hf  0.249  0.000  0.249
Hf  0.416  0.667  0.750
Hf  0.584  0.333  0.250
Hf  0.751  0.000  0.751
Hf  0.917  0.667  0.250
Zn  0.000  0.500  0.500
Zn  0.167  0.167  0.000
Zn  0.330  0.830  0.500
Zn  0.670  0.170  0.500
Zn  0.833  0.833  0.000
Pt  0.500  0.500  0.000

## Properties
Its total energy is -75.79 eV for the cell shown. The symmetry is No. 71. Its density of states at the Fermi level is 7.56 states/eV/cell.

=====

3.
Computed, not measured: a relaxed structure of NaCa2YPt at the PBE level of DFT.

Cell lengths 5.705, 5.705, 5.450 Å; angles 90.00, 90.00, 90.00 degrees
Element x y z (fractional)
Na  0.000  0.000  0.000
Ca  0.000  0.500  0.500
Ca  0.500  0.000  0.500
Y  0.500  0.500  0.000
Pt  0.500  0.500  0.500

## Properties
Its total energy is -19.87 eV for the cell shown. The symmetry is No. 123. Its density of states at the Fermi level is 3.26 states/eV/cell.

=====

Among the records above, which one has the highest density of states at the Fermi level? Hf6Zn5Pt